Density functional theory data (GGA+U) for a geometry-optimized PuCoNi2O8 structure.

Cell and atoms, written as extended XYZ:
```
12
Lattice="-3.026 3.295 -1.294 -0.913 -2.664 -3.706 -4.349 -2.787 3.075" Properties=species:S:1:pos:R:3 pbc="T T T"
Pu 0.000 0.000 0.000
Ni -5.177 -1.740 -0.232
Ni -3.111 -0.416 -1.693
O -4.973 -0.946 -2.016
O -4.527 -3.602 -0.975
O -2.442 -2.266 -2.449
O -2.720 0.434 -3.454
O -3.316 -1.209 0.091
O -3.761 1.447 -0.950
O -5.847 0.110 0.524
O -1.220 0.197 -1.546
Co -2.174 -1.393 1.537
```

Summary:
Crystal system: orthorhombic
Calculated volume: 10.8 A^3/atom
Total energy: -6.629 eV/atom